1.
A plane-wave DFT calculation with PBEsol was carried out for a relaxed P2RuAuS crystal.

## Properties
Energy relative to the elements, uncorrected ... 0.70 eV/atom
Space group ... P4/mmm, No. 123

POSCAR file:
```
P2RuAuS
1.0
-1.058 4.252 -0.349
-4.006 -0.867 1.588
1.620 0.773 4.509
Ru S Au P
1 1 1 2
Direct
0.000 0.000 0.000 Ru
0.000 0.000 0.500 S
0.500 0.500 0.500 Au
0.000 0.500 0.000 P
0.500 0.000 0.000 P
```


2.
A plane-wave DFT calculation with PBEsol was carried out for a relaxed Sr2Rh2Pb crystal.

## Properties
Formation enthalpy at 0 K ... 0.376 eV/atom
Space group ... I4/mmm, No. 139

POSCAR file:
```
Sr2Rh2Pb
1.0
4.748 0.000 0.000
0.000 4.748 0.000
-2.374 -2.374 5.671
Pb Sr Rh
1 2 2
Direct
0.000 0.000 0.000 Pb
0.250 0.750 0.500 Sr
0.750 0.250 0.500 Sr
0.393 0.393 0.785 Rh
0.607 0.607 0.215 Rh
```